Record 1
Material: Ba3Cd2Sn7
Method: DFT, PBE-GGA
State: optimized geometry

For the density of states at the Fermi level, the calculation gives 5.29 states/eV/cell. The total moment is 0.000 μB per formula unit. As for the calculated formation energy: -9.21 kcal/mol of atoms. The total energy comes out at -3.3677 eV/atom. As for the space group: P2/m, No. 10.

```
Ba3Cd2Sn7
1.0
5.051 0.000 0.000
0.000 4.947 0.000
-2.487 0.000 15.490
Ba Cd Sn
3 2 7
direct
0.000 0.000 0.000
0.315 0.500 0.635
0.685 0.500 0.365
0.116 0.000 0.270
0.884 0.000 0.730
0.149 0.500 0.165
0.228 0.000 0.453
0.424 0.000 0.834
0.500 0.500 0.000
0.576 0.000 0.166
0.772 0.000 0.547
0.851 0.500 0.835
```

Record 2
Material: RbLaSb2Te
Method: DFT, PBE-GGA
State: optimized geometry

For the density of states at the Fermi level, the calculation gives 6.94 states/eV/cell. The total moment is 0.000 μB per formula unit. The calculation puts the energy above the most stable polymorph in this dataset at 0.00 eV/f.u. The total energy comes out at -3.7415 eV/atom. As for the space group: P4/mmm, No. 123.

```
RbLaSb2Te
1.0
6.149 0.000 0.000
0.000 6.149 0.000
0.000 0.000 6.225
Rb La Sb Te
1 1 2 1
direct
0.000 0.000 0.000
0.500 0.500 0.500
0.000 0.500 0.500
0.500 0.000 0.500
0.500 0.500 0.000
```

Record 3
Material: Ti2ReHOs
Method: DFT, PBE-GGA
State: optimized geometry

For the density of states at the Fermi level, the calculation gives 3.72 states/eV/cell. The total moment is 0.000 μB per formula unit. The calculation puts the energy above the most stable polymorph in this dataset at 5.03 eV/f.u. The total energy comes out at -7.8827 eV/atom. As for the space group: P4/mmm, No. 123.

```
Ti2ReHOs
1.0
4.783 0.000 0.000
0.000 4.783 0.000
0.000 0.000 3.210
Ti Re H Os
2 1 1 1
direct
0.000 0.500 0.000
0.500 0.000 0.000
0.000 0.000 0.000
0.000 0.000 0.500
0.500 0.500 0.500
```

Record 4
Material: Sm12MgCd6
Method: DFT, PBE-GGA
State: optimized geometry

For the density of states at the Fermi level, the calculation gives 24.26 states/eV/cell. The total moment is 0.001 μB per formula unit. As for the calculated formation energy: -2.31 kcal/mol of atoms. The total energy comes out at -3.4536 eV/atom. As for the space group: R-3, No. 148.

```
Sm12MgCd6
1.0
7.536 4.351 2.800
-7.536 4.351 2.800
0.000 -8.702 2.800
Sm Mg Cd
12 1 6
direct
0.031 0.183 0.297
0.183 0.297 0.031
0.236 0.675 0.606
0.297 0.031 0.183
0.325 0.394 0.764
0.394 0.764 0.325
0.606 0.236 0.675
0.675 0.606 0.236
0.703 0.969 0.817
0.764 0.325 0.394
0.817 0.703 0.969
0.969 0.817 0.703
0.500 0.500 0.500
0.072 0.552 0.859
0.141 0.928 0.448
0.448 0.141 0.928
0.552 0.859 0.072
0.859 0.072 0.552
0.928 0.448 0.141
```

Record 5
Material: BaSi2Mo
Method: DFT, PBE-GGA
State: optimized geometry

For the density of states at the Fermi level, the calculation gives 3.80 states/eV/cell. The total moment is 0.000 μB per formula unit. The calculation puts the energy above the most stable polymorph in this dataset at 0.41 eV/f.u. The total energy comes out at -5.9354 eV/atom. As for the space group: R-3m, No. 166.

```
BaSi2Mo
1.0
2.126 1.227 6.028
-2.126 1.227 6.028
0.000 -2.455 6.028
Ba Si Mo
1 2 1
direct
0.000 0.000 0.000
0.202 0.202 0.202
0.798 0.798 0.798
0.500 0.500 0.500
```

Record 6
Material: TaMo2W6
Method: DFT, PBE-GGA
State: optimized geometry

For the density of states at the Fermi level, the calculation gives 5.94 states/eV/cell. The total moment is 0.000 μB per formula unit. As for the calculated formation energy: 8.18 kcal/mol of atoms. The calculation puts the energy above the most stable polymorph in this dataset at 0.00 eV/f.u. The total energy comes out at -12.0046 eV/atom. As for the space group: C2/m, No. 12.

```
TaMo2W6
1.0
3.976 -4.185 0.000
3.976 4.185 0.000
-1.309 0.000 4.544
Ta Mo W
1 2 6
direct
0.000 0.000 0.000
0.337 0.337 0.339
0.663 0.663 0.661
0.163 0.502 0.835
0.172 0.828 0.500
0.498 0.837 0.165
0.502 0.163 0.835
0.828 0.172 0.500
0.837 0.498 0.165
```

Question: total moment of number 1 (Ba3Cd2Sn7)?
Answer: 0.000 μB per formula unit